Record 1
First-principles (PBE) data for a geometry-optimized RePbBr2 structure, as listed in Alexandria.

The energy comes out at -4.20 eV per atom. The distance to the lowest polymorph of the same formula is 0.394 eV/atom. The calculation puts the raw formation energy at 261 kJ/mol of formula units.

The space group is Cmm2 (No. 35) and the conventional cell measures 3.3819, 6.0661 and 9.8274 Å, with angles of 90.00, 90.00 and 90.00 degrees. The asymmetric unit holds Re at (0.0000, 0.0000, 0.0000), Pb at (0.0000, 0.5000, 0.7636), Br at (0.0000, 0.0000, 0.5240) and Br at (0.0000, 0.5000, 0.1873).

Record 2
First-principles (PBE) data for a geometry-optimized RePbBr2 structure, as listed in Alexandria.

The energy comes out at -3.79 eV per atom. The distance to the lowest polymorph of the same formula is 0.798 eV/atom. The calculation puts the raw formation energy at 417 kJ/mol of formula units.

The space group is Fm-3m (No. 225) and the conventional cell measures 7.3400, 7.3400 and 7.3400 Å, with angles of 90.00, 90.00 and 90.00 degrees. The asymmetric unit holds Re at (0.0000, 0.0000, 0.0000), Pb at (0.0000, 0.0000, 0.5000) and Br at (0.2500, 0.2500, 0.2500).

Record 3
First-principles (PBE) data for a geometry-optimized RePbBr2 structure, as listed in Alexandria.

The energy comes out at -4.18 eV per atom. The distance to the lowest polymorph of the same formula is 0.417 eV/atom. The calculation puts the raw formation energy at 270 kJ/mol of formula units.

The space group is Pmmm (No. 47) and the conventional cell measures 3.2341, 4.1970 and 6.8693 Å, with angles of 90.00, 90.00 and 90.00 degrees. The asymmetric unit holds Re at (0.0000, 0.0000, 0.0000), Pb at (0.5000, 0.0000, 0.5000) and Br at (0.0000, 0.5000, 0.2181).